[1]
Computed, not measured: a relaxed structure of BaFe2Tc at the PBE-GGA level of DFT.

The calculation puts the energy relative to the lowest polymorph listed for this composition at 0.309 eV per atom. For the formation energy, the calculation gives 3.061 eV per formula unit.

a b c (Å): 3.8490 3.8655 12.1226
angles (deg): 90.00 90.00 90.00
Closest atoms and distances in Å follow each position.
Space group Imm2 (No. 44)
Symmetry-distinct sites (fractional):
Ba 0.0000 0.0000 0.0000 [2 per cell]  8 Fe 3.33-3.71, 4 Tc 3.57-3.62
Fe 0.0000 0.0000 0.6574 [2 per cell]  2 Tc 2.24, 2 Fe 2.31
Fe 0.0000 0.5000 0.7615 [2 per cell]  2 Fe 2.31
Tc 0.0000 0.5000 0.2521 [2 per cell]  2 Fe 2.24


[2]
Computed, not measured: a relaxed structure of Sr3Ga2As4 at the PBE-GGA level of DFT.

For the formation energy, the calculation gives -7.466 eV per formula unit.

a b c (Å): 14.2785 4.2789 10.2278
angles (deg): 90.00 126.75 90.00
Closest atoms and distances in Å follow each position.
Space group C2/m (No. 12)
Symmetry-distinct sites (fractional):
Sr 0.0000 0.0000 0.0000 [2 per cell]  6 As 3.10-3.34
Sr 0.1185 0.5000 0.7552 [4 per cell]  5 As 3.07-3.33
Ga 0.1886 0.5000 0.3438 [4 per cell]  4 As 2.45-2.66
As 0.1021 0.0000 0.3915 [4 per cell]  3 Ga 2.56-2.66
As 0.1898 0.5000 0.1056 [4 per cell]  1 Ga 2.45


[3]
Computed, not measured: a relaxed structure of Ca2Nd4Sn3O2 at the PBE-GGA level of DFT.

Its total energy is -122.071 eV/cell.

a b c (Å): 4.9030 4.9030 25.2995
angles (deg): 90.00 90.00 90.00
Closest atoms and distances in Å follow each position.
Space group I4/mmm (No. 139)
Symmetry-distinct sites (fractional):
Ca 0.0000 0.0000 0.1969 [4 per cell]  1 O 2.44
Nd 0.0000 0.5000 0.0873 [8 per cell]  2 O 2.47
Sn 0.0000 0.0000 0.3255 [4 per cell]  5 Ca 3.25-3.51, 4 Nd 3.30
Sn 0.0000 0.0000 0.5000 [2 per cell]  8 Nd 3.30
O 0.0000 0.0000 0.1004 [4 per cell]  1 Ca 2.44, 4 Nd 2.47


[4]
Computed, not measured: a relaxed structure of PmAg2 at the PBE-GGA level of DFT.

The calculation puts the energy relative to the lowest polymorph listed for this composition at 0.000 eV per atom. For the formation energy, the calculation gives -0.808 eV per formula unit.

a b c (Å): 4.7946 7.0645 8.2949
angles (deg): 90.00 90.00 90.00
Closest atoms and distances in Å follow each position.
Space group Imma (No. 74)
Symmetry-distinct sites (fractional):
Pm 0.0000 0.2500 0.0354 [4 per cell]  12 Ag 3.21-3.42, 2 Pm 3.58
Ag 0.0000 0.0377 0.6649 [8 per cell]  4 Ag 2.78-3.00


[5]
Computed, not measured: a relaxed structure of AlCdBi2 at the PBE-GGA level of DFT.

The calculation puts the energy relative to the lowest polymorph listed for this composition at 0.000 eV per atom. For the formation energy, the calculation gives 0.614 eV per formula unit.

a b c (Å): 6.7110 6.7110 12.7518
angles (deg): 90.00 90.00 90.00
Closest atoms and distances in Å follow each position.
Space group I-42d (No. 122)
Symmetry-distinct sites (fractional):
Al 0.0000 0.0000 0.0000 [4 per cell]  4 Bi 2.79
Cd 0.0000 0.0000 0.5000 [4 per cell]  4 Bi 2.93
Bi 0.2315 0.2500 0.1250 [8 per cell]  2 Al 2.79, 2 Cd 2.93


[6]
Computed, not measured: a relaxed structure of AcNi3Ge3 at the PBE-GGA level of DFT.

The calculation puts the energy relative to the lowest polymorph listed for this composition at 0.000 eV per atom. For the formation energy, the calculation gives -2.274 eV per formula unit.

a b c (Å): 6.5001 6.5001 6.5001
angles (deg): 90.00 90.00 90.00
Closest atoms and distances in Å follow each position.
Space group Pm-3n (No. 223)
Symmetry-distinct sites (fractional):
Ac 0.0000 0.0000 0.0000 [2 per cell]  12 Ge 3.63, 12 Ni 3.63
Ni 0.0000 0.2500 0.5000 [6 per cell]  4 Ge 2.30
Ge 0.0000 0.5000 0.2500 [6 per cell]  4 Ni 2.30


[7]
Computed, not measured: a relaxed structure of BaHBr at the PBE-GGA level of DFT.

Its total energy is -42.197 eV/cell.

a b c (Å): 7.3197 7.3197 7.3197
angles (deg): 90.00 90.00 90.00
Closest atoms and distances in Å follow each position.
Space group F-43m (No. 216)
Symmetry-distinct sites (fractional):
Ba 0.0000 0.0000 0.0000 [4 per cell]  4 H 3.17, 4 Br 3.17
H 0.2500 0.2500 0.2500 [4 per cell]  4 Ba 3.17
Br 0.2500 0.2500 0.7500 [4 per cell]  4 Ba 3.17


[8]
Computed, not measured: a relaxed structure of NaCa3F7 at the PBE-GGA level of DFT.

Its total energy is -243.623 eV/cell.

a b c (Å): 7.9126 10.8256 7.6205
angles (deg): 90.00 90.00 90.00
Closest atoms and distances in Å follow each position.
Space group Cmcm (No. 63)
Symmetry-distinct sites (fractional):
Na 0.0000 0.0000 0.0000 [4 per cell]  6 F 2.25-2.37
Ca 0.0000 0.5000 0.0000 [4 per cell]  8 F 2.34-2.45
Ca 0.2274 0.2347 0.2500 [8 per cell]  7 F 2.25-2.38
F 0.0000 0.1103 0.2500 [4 per cell]  2 Ca 2.25, 2 Na 2.25
F 0.0000 0.3583 0.7500 [4 per cell]  4 Ca 2.38-2.45
F 0.0000 0.3744 0.2500 [4 per cell]  4 Ca 2.34-2.35
F 0.2440 0.1261 0.5200 [16 per cell]  3 Ca 2.32-2.45, 1 Na 2.37


[9]
Computed, not measured: a relaxed structure of AcTh3Sb4 at the PBE-GGA level of DFT.

Its total energy is -101.232 eV/cell.

a b c (Å): 9.1726 12.9247 4.5570
angles (deg): 90.00 90.00 90.00
Closest atoms and distances in Å follow each position.
Space group Cmmm (No. 65)
Symmetry-distinct sites (fractional):
Ac 0.0000 0.0000 0.0000 [2 per cell]  6 Sb 3.30
Th 0.0000 0.5000 0.0000 [2 per cell]  6 Sb 3.17
Th 0.2500 0.2500 0.5000 [4 per cell]  6 Sb 3.23
Sb 0.0000 0.2550 0.0000 [4 per cell]  5 Th 3.17-3.23, 1 Ac 3.30
Sb 0.2395 0.5000 0.5000 [4 per cell]  4 Th 3.17-3.23, 2 Ac 3.30


[10]
Computed, not measured: a relaxed structure of Rb2TmAuBr6 at the PBE-GGA level of DFT.

Its total energy is -34.215 eV/cell.

a b c (Å): 7.7957 7.8324 7.9704
angles (deg): 109.70 104.66 109.99
Closest atoms and distances in Å follow each position.
Space group P-1 (No. 2)
Symmetry-distinct sites (fractional):
Rb 0.2432 0.0172 0.2751 [2 per cell]  6 Br 3.41-3.72
Tm 0.0000 0.5000 0.5000 [1 per cell]  6 Br 2.73-2.88
Au 0.5000 0.5000 0.0000 [1 per cell]  2 Br 2.45
Br 0.1946 0.3256 0.6970 [2 per cell]  1 Au 2.45
Br 0.1983 0.8865 0.8072 [2 per cell]  1 Tm 2.73
Br 0.2863 0.6078 0.3592 [2 per cell]  1 Tm 2.75


[11]
Computed, not measured: a relaxed structure of Ac2AuO at the PBE-GGA level of DFT.

The calculation puts the energy relative to the lowest polymorph listed for this composition at 0.000 eV per atom.

a b c (Å): 7.2142 4.2333 15.4322
angles (deg): 90.00 90.00 90.00
Closest atoms and distances in Å follow each position.
Space group Pnma (No. 62)
Symmetry-distinct sites (fractional):
Ac 0.2201 0.2500 0.1956 [4 per cell]  1 O 2.44
Ac 0.2268 0.7500 0.9736 [4 per cell]  3 O 2.51
Au 0.0437 0.7500 0.3427 [4 per cell]  6 Ac 3.21-3.36
O 0.1194 0.2500 0.0448 [4 per cell]  4 Ac 2.44-2.51


[12]
Computed, not measured: a relaxed structure of K2BaIr at the PBE-GGA level of DFT.

The calculation puts the energy relative to the lowest polymorph listed for this composition at 0.000 eV per atom. For the formation energy, the calculation gives 1.232 eV per formula unit.

a b c (Å): 3.8037 5.0453 18.6515
angles (deg): 90.00 90.00 90.00
Closest atoms and distances in Å follow each position.
Space group Immm (No. 71)
Symmetry-distinct sites (fractional):
K 0.0000 0.0000 0.1550 [4 per cell]  2 Ir 3.46, 2 K 3.80, 2 Ba 3.84
Ba 0.0000 0.5000 0.0000 [2 per cell]  4 Ir 3.16
Ir 0.0000 0.5000 0.5000 [2 per cell]  4 Ba 3.16, 4 K 3.46


[13]
Computed, not measured: a relaxed structure of TeMo2Cl at the PBE-GGA level of DFT.

The calculation puts the energy relative to the lowest polymorph listed for this composition at 0.905 eV per atom.

a b c (Å): 3.0344 4.3990 5.8086
angles (deg): 90.00 90.00 90.00
Closest atoms and distances in Å follow each position.
Space group Pmmm (No. 47)
Symmetry-distinct sites (fractional):
Te 0.0000 0.0000 0.0000 [1 per cell]  4 Mo 2.67
Mo 0.0000 0.5000 0.5000 [1 per cell]  4 Cl 2.67
Mo 0.5000 0.5000 0.0000 [1 per cell]  4 Te 2.67
Cl 0.5000 0.0000 0.5000 [1 per cell]  4 Mo 2.67


[14]
Computed, not measured: a relaxed structure of NaZn2Br at the PBE-GGA level of DFT.

The calculation puts the energy relative to the lowest polymorph listed for this composition at 0.249 eV per atom.

a b c (Å): 7.7568 7.7568 7.7568
angles (deg): 90.00 90.00 90.00
Closest atoms and distances in Å follow each position.
Space group Fm-3m (No. 225)
Symmetry-distinct sites (fractional):
Na 0.0000 0.0000 0.0000 [4 per cell]  8 Zn 3.36
Zn 0.2500 0.2500 0.2500 [8 per cell]  4 Na 3.36, 4 Br 3.36
Br 0.0000 0.0000 0.5000 [4 per cell]  8 Zn 3.36


[15]
Computed, not measured: a relaxed structure of Hf2CuPtAu2 at the PBE-GGA level of DFT.

For the formation energy, the calculation gives -3.047 eV per formula unit.

a b c (Å): 5.6426 13.9397 5.5757
angles (deg): 90.00 90.00 90.00
Closest atoms and distances in Å follow each position.
Space group Ibam (No. 72)
Symmetry-distinct sites (fractional):
Hf 0.2041 0.1558 0.0000 [8 per cell]  5 Au 2.79-2.85, 2 Pt 2.83, 2 Cu 3.07
Cu 0.0000 0.5000 0.2500 [4 per cell]  4 Au 2.70, 2 Cu 2.79, 2 Pt 2.82
Pt 0.0000 0.0000 0.2500 [4 per cell]  2 Pt 2.79, 2 Cu 2.82, 4 Hf 2.83, 4 Au 2.98
Au 0.1999 0.3556 0.0000 [8 per cell]  2 Cu 2.70, 5 Hf 2.79-2.85, 2 Pt 2.98


[16]
Computed, not measured: a relaxed structure of BeGa2RePd at the PBE-GGA level of DFT.

For the formation energy, the calculation gives 3.659 eV per formula unit.

a b c (Å): 4.3053 4.3053 4.0211
angles (deg): 90.00 90.00 90.00
Closest atoms and distances in Å follow each position.
Space group P4/mmm (No. 123)
Symmetry-distinct sites (fractional):
Be 0.0000 0.0000 0.0000 [1 per cell]  2 Pd 2.01, 4 Ga 2.15
Ga 0.0000 0.5000 0.0000 [2 per cell]  2 Be 2.15
Re 0.5000 0.5000 0.5000 [1 per cell]  8 Ga 2.95, 4 Pd 3.04
Pd 0.0000 0.0000 0.5000 [1 per cell]  2 Be 2.01


[17]
Computed, not measured: a relaxed structure of Dy6C3S2Cl at the PBE-GGA level of DFT.

Its total energy is -160.747 eV/cell.

a b c (Å): 16.7130 3.7017 7.7283
angles (deg): 90.00 106.77 90.00
Closest atoms and distances in Å follow each position.
Space group C2/m (No. 12)
Symmetry-distinct sites (fractional):
Dy 0.0105 0.0000 0.2179 [4 per cell]  3 C 2.47-2.50
Dy 0.1596 0.5000 0.1030 [4 per cell]  3 C 2.55, 3 S 2.84
Dy 0.1787 0.5000 0.5619 [4 per cell]  3 C 2.48-2.53
C 0.0000 0.5000 0.0000 [2 per cell]  6 Dy 2.47-2.55
C 0.1665 0.0000 0.3333 [4 per cell]  6 Dy 2.48-2.55
S 0.1638 0.0000 0.8277 [4 per cell]  6 Dy 2.83-2.84
Cl 0.0000 0.5000 0.5000 [2 per cell]  6 Dy 2.89-2.90